[1]
Density functional theory data (PBE) for crystalline Sc2CrIr2 at its relaxed geometry.

Cell and atoms, written as CIF:
```
data_Sc2CrIr2
_chemical_formula_sum 'Sc4 Cr2 Ir4'
_symmetry_space_group_name_H-M 'P 4/m b m'
_symmetry_Int_Tables_number 127
_symmetry_space_group_name_Hall '-P 4 2ab'
_cell_length_a 6.625
_cell_length_b 6.625
_cell_length_c 4.078
_cell_angle_alpha 90.00
_cell_angle_beta 90.00
_cell_angle_gamma 90.00
loop_
_atom_site_label
_atom_site_type_symbol
_atom_site_fract_x
_atom_site_fract_y
_atom_site_fract_z
Sc1 Sc 0.176 0.324 0.000
Cr1 Cr 0.000 0.000 0.500
Ir1 Ir 0.137 0.637 0.500
```

Computed properties:
The volume is 179.0 Å³/cell. The formation energy is -11.7 kcal/mol of atoms.


[2]
Density functional theory data (PBE) for crystalline TaMo at its relaxed geometry.

Cell and atoms, written as CIF:
```
data_TaMo
_chemical_formula_sum 'Ta6 Mo6'
_symmetry_space_group_name_H-M 'C 1 2/m 1'
_symmetry_Int_Tables_number 12
_symmetry_space_group_name_Hall '-C 2y'
_cell_length_a 10.260
_cell_length_b 3.215
_cell_length_c 6.533
_cell_angle_alpha 90.00
_cell_angle_beta 109.53
_cell_angle_gamma 90.00
loop_
_atom_site_label
_atom_site_type_symbol
_atom_site_fract_x
_atom_site_fract_y
_atom_site_fract_z
Ta1 Ta 0.000 0.000 0.000
Ta2 Ta 0.168 0.500 0.823
Mo1 Mo 0.000 0.000 0.500
Mo2 Mo 0.165 0.500 0.339
```

Computed properties:
The volume is 203.1 Å³/cell. The formation energy is -3.1 kcal/mol of atoms.


[3]
Density functional theory data (PBE) for crystalline TaCu3Cl at its relaxed geometry.

Cell and atoms, written as CIF:
```
data_TaCu3Cl
_chemical_formula_sum 'Ta1 Cu3 Cl1'
_symmetry_space_group_name_H-M 'P m -3 m'
_symmetry_Int_Tables_number 221
_symmetry_space_group_name_Hall '-P 4 2 3'
_cell_length_a 4.910
_cell_length_b 4.910
_cell_length_c 4.910
_cell_angle_alpha 90.00
_cell_angle_beta 90.00
_cell_angle_gamma 90.00
loop_
_atom_site_label
_atom_site_type_symbol
_atom_site_fract_x
_atom_site_fract_y
_atom_site_fract_z
Ta1 Ta 0.000 0.000 0.000
Cu1 Cu 0.000 0.000 0.500
Cl1 Cl 0.500 0.500 0.500
```

Computed properties:
The volume is 118.4 Å³/cell. As for the formation energy (no corrections): 1.445 eV/atom.


[4]
Density functional theory data (PBE) for crystalline TbDyHg at its relaxed geometry.

Cell and atoms, written as CIF:
```
data_TbDyHg
_chemical_formula_sum 'Tb4 Dy4 Hg4'
_symmetry_space_group_name_H-M 'P n m a'
_symmetry_Int_Tables_number 62
_symmetry_space_group_name_Hall '-P 2ac 2n'
_cell_length_a 7.094
_cell_length_b 5.117
_cell_length_c 9.250
_cell_angle_alpha 90.00
_cell_angle_beta 90.00
_cell_angle_gamma 90.00
loop_
_atom_site_label
_atom_site_type_symbol
_atom_site_fract_x
_atom_site_fract_y
_atom_site_fract_z
Tb1 Tb 0.015 0.250 0.194
Dy1 Dy 0.169 0.250 0.575
Hg1 Hg 0.239 0.250 0.899
```

Computed properties:
The volume is 335.8 Å³/cell. The formation energy is -8.3 kcal/mol of atoms.